Entry 1:
This record from Alexandria via LeMat-Bulk describes crystalline La2YBe at its relaxed geometry. The functional is PBE.

abc: 3.7486 4.7287 6.5801
angles: 90.00 106.02 90.00
Closest atoms and distances in Å follow each position.
Space group Pm (No. 6)
Inequivalent atoms, fractional coordinates:
La (0.0000, 0.0000, 0.0000) (multiplicity 1)  4 La 3.12-3.42, 1 Be 3.29
La (0.4763, 0.5000, 0.8034) (multiplicity 1)  2 Be 2.99, 2 La 3.12, 1 Y 3.20
Y (0.6852, 0.5000, 0.3636) (multiplicity 1)  4 Be 3.11-3.24, 1 La 3.20
Be (0.2326, 0.0000, 0.5206) (multiplicity 1)  3 La 2.99-3.29, 4 Y 3.11-3.24

Values from the calculation:
Total DFT energy (no corrections) (eV/atom): -4.7545
Formation energy from the elements (eV per atom): 0.257

---

Entry 2:
This record from Alexandria via LeMat-Bulk describes crystalline Nd7Dy4Ho at its relaxed geometry. The functional is PBE.

abc: 6.3360 7.3006 9.0126
angles: 90.04 103.60 90.02
Closest atoms and distances in Å follow each position.
Space group P-1 (No. 2)
Inequivalent atoms, fractional coordinates:
Nd (0.0000, 0.0000, 0.0000) (multiplicity 1)  4 Dy 3.58-3.61, 6 Nd 3.61-3.65, 2 Ho 3.65
Nd (0.2210, 0.5003, 0.6660) (multiplicity 2)  6 Nd 3.59-3.66, 1 Ho 3.61, 5 Dy 3.62-3.67
Nd (0.2802, 0.7505, 0.3344) (multiplicity 2)  6 Dy 3.59-3.67, 5 Nd 3.60-3.66, 1 Ho 3.61
Nd (0.4995, 0.2479, 0.0014) (multiplicity 2)  3 Dy 3.58-3.61, 7 Nd 3.61-3.68, 2 Ho 3.66-3.67
Dy (0.2198, 0.0000, 0.6652) (multiplicity 2)  4 Dy 3.57-3.66, 8 Nd 3.59-3.66
Dy (0.2778, 0.2479, 0.3321) (multiplicity 2)  8 Nd 3.58-3.67, 3 Dy 3.60-3.66, 1 Ho 3.60
Ho (0.0000, 0.5000, 0.0000) (multiplicity 1)  2 Dy 3.60, 10 Nd 3.61-3.67

Values from the calculation:
Total DFT energy (no corrections) (eV/atom): -4.6887
Energy above the lowest structure with this stoichiometry (eV per atom): 0.000
Formation energy from the elements (eV per atom): 0.008

---

Entry 3:
This record from Alexandria via LeMat-Bulk describes crystalline Li6HBr2N at its relaxed geometry. The functional is PBE.

abc: 5.9158 8.3746 5.9164
angles: 90.00 90.00 90.00
Closest atoms and distances in Å follow each position.
Space group Pmmn (No. 59, origin choice 2)
Inequivalent atoms, fractional coordinates:
Li (0.0195, 0.2500, 0.0213) (multiplicity 4)  1 N 1.93
Li (0.0197, 0.2500, 0.4828) (multiplicity 4)  1 N 1.93
Li (0.2500, 0.0195, 0.2511) (multiplicity 4)  1 N 1.93
H (0.2500, 0.7500, 0.2516) (multiplicity 2)  6 Li 2.24-2.27
Br (0.2500, 0.0003, 0.7517) (multiplicity 4)  12 Li 2.96-2.98
N (0.2500, 0.2500, 0.2520) (multiplicity 2)  6 Li 1.93

Values from the calculation:
Total DFT energy (no corrections) (eV/atom): -3.4240